This record from Alexandria describes TlVI2N after structural relaxation. The functional is GGA-PBE.

```
data_TlVI2N
_cell_length_a 5.888
_cell_length_b 5.888
_cell_length_c 3.755
_cell_angle_alpha 90.00
_cell_angle_beta 90.00
_cell_angle_gamma 90.00
_space_group_name_H-M_alt 'P 4/m m m'
_space_group_IT_number 123
_space_group_name_Hall '-P 4 2'
loop_
_atom_site_label
_atom_site_fract_x
_atom_site_fract_y
_atom_site_fract_z
_atom_site_occupancy
Tl1 0.000 0.000 0.000 1
V1 0.500 0.500 0.500 1
I1 0.000 0.500 0.500 1
N1 0.500 0.500 0.000 1
```

Results
Its uncorrected formation energy is -0.17 eV/atom. The value obtained for the relative energy among the computed polymorphs is 0 meV/atom.

This record from Alexandria describes TlVIN2 after structural relaxation. The functional is GGA-PBE.

```
data_TlVIN2
_cell_length_a 4.224
_cell_length_b 4.224
_cell_length_c 6.271
_cell_angle_alpha 90.00
_cell_angle_beta 90.00
_cell_angle_gamma 90.00
_space_group_name_H-M_alt 'P 4/m m m'
_space_group_IT_number 123
_space_group_name_Hall '-P 4 2'
loop_
_atom_site_label
_atom_site_fract_x
_atom_site_fract_y
_atom_site_fract_z
_atom_site_occupancy
Tl1 0.000 0.000 0.000 1
V1 0.500 0.500 0.500 1
I1 0.000 0.000 0.500 1
N1 0.000 0.500 0.000 1
```

Results
Its uncorrected formation energy is 2.25 eV/atom. The value obtained for the relative energy among the computed polymorphs is 1591 meV/atom.

This record from Alexandria describes TlVI2N after structural relaxation. The functional is GGA-PBE.

```
data_TlVI2N
_cell_length_a 6.213
_cell_length_b 6.213
_cell_length_c 4.009
_cell_angle_alpha 90.00
_cell_angle_beta 90.00
_cell_angle_gamma 90.00
_space_group_name_H-M_alt 'P 4/m m m'
_space_group_IT_number 123
_space_group_name_Hall '-P 4 2'
loop_
_atom_site_label
_atom_site_fract_x
_atom_site_fract_y
_atom_site_fract_z
_atom_site_occupancy
Tl1 0.000 0.000 0.000 1
V1 0.500 0.500 0.500 1
I1 0.000 0.500 0.000 1
N1 0.000 0.000 0.500 1
```

Results
Its uncorrected formation energy is 1.24 eV/atom. The value obtained for the relative energy among the computed polymorphs is 1414 meV/atom.

This record from Alexandria describes YTlI2N after structural relaxation. The functional is GGA-PBE.

```
data_YTlI2N
_cell_length_a 6.252
_cell_length_b 6.252
_cell_length_c 3.961
_cell_angle_alpha 90.00
_cell_angle_beta 90.00
_cell_angle_gamma 90.00
_space_group_name_H-M_alt 'P 4/m m m'
_space_group_IT_number 123
_space_group_name_Hall '-P 4 2'
loop_
_atom_site_label
_atom_site_fract_x
_atom_site_fract_y
_atom_site_fract_z
_atom_site_occupancy
Y1 0.000 0.000 0.000 1
Tl1 0.500 0.500 0.500 1
I1 0.000 0.500 0.500 1
N1 0.500 0.500 0.000 1
```

Results
Its uncorrected formation energy is 0.52 eV/atom. The value obtained for the relative energy among the computed polymorphs is 986 meV/atom.

This record from Alexandria describes YTlI2N after structural relaxation. The functional is GGA-PBE.

```
data_YTlI2N
_cell_length_a 6.327
_cell_length_b 6.327
_cell_length_c 4.184
_cell_angle_alpha 90.00
_cell_angle_beta 90.00
_cell_angle_gamma 90.00
_space_group_name_H-M_alt 'P 4/m m m'
_space_group_IT_number 123
_space_group_name_Hall '-P 4 2'
loop_
_atom_site_label
_atom_site_fract_x
_atom_site_fract_y
_atom_site_fract_z
_atom_site_occupancy
Y1 0.000 0.000 0.000 1
Tl1 0.500 0.500 0.500 1
I1 0.000 0.500 0.000 1
N1 0.000 0.000 0.500 1
```

Results
Its uncorrected formation energy is -0.46 eV/atom. The value obtained for the relative energy among the computed polymorphs is 0 meV/atom.

This record from Alexandria describes TlZnI2N after structural relaxation. The functional is GGA-PBE.

```
data_TlZnI2N
_cell_length_a 6.094
_cell_length_b 6.094
_cell_length_c 3.933
_cell_angle_alpha 90.00
_cell_angle_beta 90.00
_cell_angle_gamma 90.00
_space_group_name_H-M_alt 'P 4/m m m'
_space_group_IT_number 123
_space_group_name_Hall '-P 4 2'
loop_
_atom_site_label
_atom_site_fract_x
_atom_site_fract_y
_atom_site_fract_z
_atom_site_occupancy
Tl1 0.000 0.000 0.000 1
Zn1 0.500 0.500 0.500 1
I1 0.000 0.500 0.500 1
N1 0.500 0.500 0.000 1
```

Results
Its uncorrected formation energy is 0.26 eV/atom. The value obtained for the relative energy among the computed polymorphs is 0 meV/atom.

> The lowest uncorrected formation energy belongs to which entry?

number 5

> Which of these has the highest uncorrected formation energy?

TlVIN2

> Look up the uncorrected formation energy of the second one.

2.25 eV/atom

> Which value of relative energy among the computed polymorphs does entry 1 give?

0 meV/atom